(A)
Compound: SrDyNO
Source: OQMD via LeMat-Bulk
Functional: PBE
Structure: optimized geometry

```
16
Lattice="7.112 0.000 0.000 0.000 8.302 0.000 0.000 0.000 5.026" Properties=species:S:1:pos:R:3 pbc="T T T"
Sr 0.594 1.090 0.000
Sr 2.962 1.090 2.513
Sr 4.149 7.213 0.000
Sr 6.518 7.213 2.513
Dy 0.613 5.125 4.999
Dy 2.943 5.125 2.486
Dy 4.169 3.177 4.999
Dy 6.498 3.177 2.486
N 0.665 5.062 2.594
N 2.891 5.062 0.081
N 4.221 3.241 2.594
N 6.446 3.241 0.081
O 0.469 1.175 2.529
O 3.087 1.175 0.016
O 4.024 7.128 2.529
O 6.643 7.128 0.016
```

=====

(B)
Compound: SrDyNO
Source: OQMD via LeMat-Bulk
Functional: PBE
Structure: optimized geometry

```
8
Lattice="3.858 0.000 0.000 0.000 7.020 0.000 0.000 0.000 5.810" Properties=species:S:1:pos:R:3 pbc="T T T"
Sr 0.000 1.143 0.000
Sr 0.000 5.878 2.905
Dy 1.929 2.392 2.995
Dy 1.929 4.628 0.090
N 0.000 1.351 2.542
N 0.000 5.670 5.447
O 1.929 2.534 5.189
O 1.929 4.487 2.284
```

=====

(C)
Compound: SrDyNO
Source: OQMD via LeMat-Bulk
Functional: PBE
Structure: optimized geometry

```
4
Lattice="3.512 0.000 0.000 0.000 3.512 0.000 0.000 0.000 5.113" Properties=species:S:1:pos:R:3 pbc="T T T"
Sr 0.000 0.000 0.000
Dy 1.756 1.756 2.556
N 0.000 0.000 2.556
O 1.756 1.756 0.000
```

=====

Which structure wins on stability? (A) wins.

=====

(A)
Compound: DyTaNO
Source: OQMD via LeMat-Bulk
Functional: PBE
Structure: optimized geometry

```
16
Lattice="7.648 0.000 0.000 0.000 6.487 0.000 0.000 0.000 4.542" Properties=species:S:1:pos:R:3 pbc="T T T"
Dy 0.984 0.300 1.135
Dy 0.984 2.944 3.406
Dy 6.664 3.543 1.135
Dy 6.664 6.187 3.406
Ta 2.805 3.950 1.135
Ta 2.805 5.781 3.406
Ta 4.842 0.706 1.135
Ta 4.842 2.537 3.406
N 3.157 3.746 3.406
N 3.157 5.985 1.135
N 4.491 0.502 3.406
N 4.491 2.741 1.135
O 1.183 0.644 3.406
O 1.183 2.599 1.135
O 6.465 3.888 3.406
O 6.465 5.842 1.135
```

=====

(B)
Compound: DyTaNO
Source: OQMD via LeMat-Bulk
Functional: PBE
Structure: optimized geometry

```
16
Lattice="6.263 0.000 0.000 0.000 7.519 0.000 0.000 0.000 5.089" Properties=species:S:1:pos:R:3 pbc="T T T"
Dy 0.393 1.043 0.000
Dy 2.739 1.043 2.545
Dy 3.524 6.476 0.000
Dy 5.870 6.476 2.545
Ta 0.803 4.955 0.006
Ta 2.328 4.955 2.550
Ta 3.934 2.564 0.006
Ta 5.460 2.564 2.550
N 0.463 1.102 2.567
N 2.669 1.102 0.023
N 3.594 6.417 2.567
N 5.800 6.417 0.023
O 0.362 4.187 3.156
O 2.770 4.187 0.611
O 3.493 3.332 3.156
O 5.901 3.332 0.611
```

=====

Which structure wins on stability? (A) wins.